Material: LiNiIO2
Method: DFT, GGA+U
State: optimized geometry

Cell lengths 3.8183, 3.8183, 5.8583 Å; angles 90.00, 90.00, 90.00 degrees
Fractional positions:
Li  0.0000  0.0000  0.0000
Ni  0.5000  0.5000  0.5000
I  0.5000  0.5000  0.0000
O  0.0000  0.5000  0.5000
O  0.5000  0.0000  0.5000

- electronic total energy (eV/atom) = -3.413
- density (Mg/m³) = 4.37
- DOS(E_F) (states/eV per cell) = 4.146

=====

Material: LiNiI2O6
Method: DFT, GGA+U
State: optimized geometry

Cell lengths 7.2718, 7.2718, 5.1806 Å; angles 91.33, 91.33, 91.22 degrees
Fractional positions:
Li  0.2408  0.7592  0.7500
Li  0.7592  0.2408  0.2500
Ni  0.0818  0.9182  0.2500
Ni  0.9182  0.0818  0.7500
I  0.1290  0.4138  0.2475
I  0.4138  0.1290  0.7475
I  0.5862  0.8710  0.2525
I  0.8710  0.5862  0.7525
O  0.0418  0.1766  0.0900
O  0.1029  0.6621  0.4192
O  0.1766  0.0418  0.5900
O  0.1844  0.5095  0.9259
O  0.3379  0.8971  0.0808
O  0.4905  0.8156  0.5741
O  0.5095  0.1844  0.4259
O  0.6621  0.1029  0.9192
O  0.8156  0.4905  0.0741
O  0.8234  0.9582  0.4100
O  0.8971  0.3379  0.5808
O  0.9582  0.8234  0.9100

- electronic total energy (eV/atom) = -4.331
- density (Mg/m³) = 5.04
- DOS(E_F) (states/eV per cell) = 5.564